DFT (PBE-GGA) results for a relaxed Tb2NdSm3Te6 crystal.

Computed properties:
Symmetry: C2/m, No. 12
Theoretical density: 7.56 g cm⁻³
Uncorrected energy: -5.29 eV per atom
Total magnetization: 0.0 μB/cell
N(E_F): 0.544 states/eV per atom

a b c (Å): 9.897 9.897 8.909
angles (deg): 102.81 102.81 25.73
Fractional positions:
Tb 0.165 0.165 0.330
Tb 0.835 0.835 0.670
Nd 0.500 0.500 0.000
Sm 0.163 0.163 0.833
Sm 0.500 0.500 0.500
Sm 0.837 0.837 0.167
Te 0.003 0.003 0.254
Te 0.330 0.330 0.911
Te 0.331 0.331 0.420
Te 0.669 0.669 0.580
Te 0.670 0.670 0.089
Te 0.997 0.997 0.746